A plane-wave DFT calculation with PBE was carried out for crystalline PmGdErTh at its relaxed geometry.

Output
- DOS(E_F): 35.1 states/eV/cell
- DFT total energy: -0.2764 Ha/atom
- DFT formation energy: 0.18 eV per atom

a = 8.0622 Å, b = 8.0622 Å, c = 8.0622 Å
α = 90.00°, β = 90.00°, γ = 90.00°
With the nearest neighbours (Å) after each atom.
Space group F-43m (No. 216)
Unique sites:
Pm1 0.0000 0.0000 0.0000 [4 per cell]  4 Er 3.49, 4 Th 3.49
Gd1 0.0000 0.0000 0.5000 [4 per cell]  4 Th 3.49, 4 Er 3.49
Er1 0.2500 0.2500 0.2500 [4 per cell]  4 Gd 3.49, 4 Pm 3.49
Th1 0.2500 0.2500 0.7500 [4 per cell]  4 Gd 3.49, 4 Pm 3.49



A plane-wave DFT calculation with PBE was carried out for crystalline LiNdSnSe3 at its relaxed geometry.

Output
- Uncorrected formation energy: -7.22 eV/f.u.
- DFT total energy: -0.1737 Ha/atom

a = 8.8562 Å, b = 4.0537 Å, c = 9.1374 Å
α = 90.00°, β = 99.11°, γ = 90.00°
With the nearest neighbours (Å) after each atom.
Space group P2_1/m (No. 11)
Unique sites:
Li1 0.0962 0.2500 0.0880 [2 per cell]  4 Se 2.55-2.61
Nd1 0.1629 0.2500 0.7176 [2 per cell]  7 Se 3.01-3.10
Sn1 0.3435 0.7500 0.3371 [2 per cell]  5 Se 2.79-3.05
Se1 0.0991 0.2500 0.3736 [2 per cell]  1 Li 2.61
Se2 0.1974 0.7500 0.9640 [2 per cell]  3 Li 2.55-2.57
Se3 0.3970 0.7500 0.6464 [2 per cell]  3 Sn 2.79-3.05, 2 Nd 3.04



A plane-wave DFT calculation with PBE was carried out for crystalline CsHf2TaFe at its relaxed geometry.

Output
- DOS(E_F): 10.9 states/eV/cell
- DFT total energy: -0.2296 Ha/atom
- DFT formation energy: 1.97 eV per atom

a = 5.1729 Å, b = 5.1729 Å, c = 6.0063 Å
α = 90.00°, β = 90.00°, γ = 90.00°
With the nearest neighbours (Å) after each atom.
Space group P4/mmm (No. 123)
Unique sites:
Cs1 0.0000 0.0000 0.0000 [1 per cell]  2 Ta 3.00
Hf1 0.0000 0.5000 0.5000 [2 per cell]  2 Ta 2.59
Ta1 0.0000 0.0000 0.5000 [1 per cell]  4 Hf 2.59
Fe1 0.5000 0.5000 0.0000 [1 per cell]  4 Cs 3.66, 8 Hf 3.96



A plane-wave DFT calculation with PBE was carried out for crystalline AcHg2AsO6 at its relaxed geometry.

Output
- Uncorrected formation energy: -13.69 eV/f.u.
- DFT total energy: -0.1940 Ha/atom

a = 5.6490 Å, b = 5.6490 Å, c = 16.1485 Å
α = 90.00°, β = 90.00°, γ = 120.00°
With the nearest neighbours (Å) after each atom.
Space group R-3 (No. 148, hexagonal axes)
Unique sites:
Ac1 0.0000 0.0000 0.0000 [3 per cell]  6 O 2.51
Hg1 0.0000 0.0000 0.2220 [6 per cell]  3 O 2.25
As1 0.0000 0.0000 0.5000 [3 per cell]  6 O 1.89
O1 0.0389 0.2895 0.5681 [18 per cell]  1 As 1.89



A plane-wave DFT calculation with PBE was carried out for crystalline Si3Au4 at its relaxed geometry.

Output
- Uncorrected formation energy: 1.37 eV/f.u.
- Energy above the most stable polymorph in this dataset: 112.7 meV/atom
- DOS(E_F): 4.9 states/eV/cell
- DFT total energy: -0.1470 Ha/atom

a = 3.6925 Å, b = 3.6925 Å, c = 18.0079 Å
α = 90.00°, β = 90.00°, γ = 90.00°
With the nearest neighbours (Å) after each atom.
Space group I4/mmm (No. 139)
Unique sites:
Si1 0.0000 0.0000 0.0000 [2 per cell]  10 Au 2.74-2.93
Si2 0.0000 0.0000 0.2892 [4 per cell]  2 Au 2.46
Au1 0.0000 0.0000 0.1523 [4 per cell]  2 Si 2.46-2.74
Au2 0.0000 0.0000 0.4257 [4 per cell]  1 Si 2.46, 1 Au 2.68



A plane-wave DFT calculation with PBE was carried out for crystalline TbHoTm5Th2 at its relaxed geometry.

Output
- DOS(E_F): 48.4 states/eV/cell
- DFT total energy: -0.1766 Ha/atom
- DFT formation energy: 0.35 eV per atom

a = 8.6863 Å, b = 8.6863 Å, c = 15.2965 Å
α = 90.00°, β = 90.00°, γ = 90.00°
With the nearest neighbours (Å) after each atom.
Space group I4/mcm (No. 140)
Unique sites:
Tb1 0.0000 0.5000 0.2500 [4 per cell]  4 Tm 3.08
Ho1 0.0000 0.0000 0.2500 [4 per cell]  10 Tm 3.53-3.82
Tm1 0.0000 0.0000 0.0000 [4 per cell]  4 Th 3.46, 8 Tm 3.78, 2 Ho 3.82
Tm2 0.2103 0.2897 0.1405 [16 per cell]  1 Th 3.00, 1 Tb 3.08
Th1 0.1194 0.3806 0.5000 [8 per cell]  1 Th 2.93, 2 Tm 3.00



A plane-wave DFT calculation with PBE was carried out for crystalline Th2OsPb at its relaxed geometry.

Output
- Energy above the most stable polymorph in this dataset: 10.4 meV/atom
- DOS(E_F): 3.4 states/eV/cell
- DFT total energy: -0.2844 Ha/atom
- DFT formation energy: -0.30 eV per atom

a = 3.4056 Å, b = 3.4056 Å, c = 9.0234 Å
α = 90.00°, β = 90.00°, γ = 90.00°
With the nearest neighbours (Å) after each atom.
Space group P4/mmm (No. 123)
Unique sites:
Th1 0.0000 0.0000 0.2078 [2 per cell]  4 Os 3.05, 4 Th 3.41
Os1 0.5000 0.5000 0.0000 [1 per cell]  8 Th 3.05, 4 Os 3.41
Pb1 0.5000 0.5000 0.5000 [1 per cell]  4 Pb 3.41, 8 Th 3.57



A plane-wave DFT calculation with PBE was carried out for crystalline PmRuO4 at its relaxed geometry.

Output
- Uncorrected formation energy: -11.46 eV/f.u.
- Energy above the most stable polymorph in this dataset: 48.0 meV/atom
- DOS(E_F): 6.1 states/eV/cell
- DFT total energy: -0.2776 Ha/atom

a = 6.9079 Å, b = 11.0981 Å, c = 5.0980 Å
α = 90.00°, β = 126.96°, γ = 90.00°
With the nearest neighbours (Å) after each atom.
Space group C2/c (No. 15)
Unique sites:
Pm1 0.0000 0.1354 0.2500 [4 per cell]  6 O 2.33-2.45
Ru1 0.0000 0.4162 0.7500 [4 per cell]  4 O 1.88-2.01
O1 0.1444 0.2971 0.6569 [8 per cell]  1 Ru 1.88
O2 0.2303 0.4623 0.2250 [8 per cell]  2 Ru 2.01-2.15



A plane-wave DFT calculation with PBE was carried out for crystalline TmHg2Pd4 at its relaxed geometry.

Output
- Energy above the most stable polymorph in this dataset: 0.0 meV/atom
- DOS(E_F): 4.5 states/eV/cell
- DFT total energy: -0.1532 Ha/atom
- DFT formation energy: -0.48 eV per atom

a = 5.8420 Å, b = 7.1087 Å, c = 7.4851 Å
α = 113.09°, β = 112.26°, γ = 91.25°
With the nearest neighbours (Å) after each atom.
Space group P1 (No. 1)
Unique sites:
Tm1 0.0000 0.0000 0.0000 [1 per cell]  9 Pd 2.85-2.99, 2 Hg 3.07-3.11
Tm2 0.2761 0.8841 0.5584 [1 per cell]  9 Pd 2.77-2.97, 2 Hg 3.00-3.04
Hg1 0.3476 0.7215 0.1454 [1 per cell]  7 Pd 2.82-2.94, 3 Hg 2.97-3.15, 2 Tm 3.04-3.07
Hg2 0.4152 0.3482 0.8198 [1 per cell]  5 Pd 2.87-3.00, 4 Hg 2.89-3.08, 1 Tm 3.00
Hg3 0.6723 0.4342 0.2954 [1 per cell]  9 Pd 2.84-2.98, 2 Hg 3.06-3.08
Hg4 0.9081 0.3308 0.8180 [1 per cell]  7 Pd 2.87-3.02, 3 Hg 2.89-3.15, 1 Tm 3.11
Pd1 0.1025 0.6291 0.6993 [1 per cell]  2 Tm 2.77-2.97, 4 Hg 2.86-2.95, 6 Pd 2.91-3.08
Pd2 0.1617 0.4404 0.2852 [1 per cell]  5 Pd 2.87-3.02, 4 Hg 2.89-2.99, 2 Tm 2.89-2.90
Pd3 0.4613 0.1628 0.4146 [1 per cell]  4 Hg 2.85-2.92, 6 Pd 2.86-3.04, 2 Tm 2.95-2.99
Pd4 0.5170 0.9943 0.0113 [1 per cell]  2 Hg 2.82-2.89, 3 Tm 2.85-2.99, 5 Pd 2.92-2.98
Pd5 0.5990 0.6314 0.6951 [1 per cell]  2 Tm 2.82-2.92, 7 Pd 2.85-3.04, 3 Hg 2.87-3.02
Pd6 0.7794 0.8904 0.5474 [1 per cell]  5 Pd 2.84-2.99, 3 Hg 2.85-2.95, 3 Tm 2.87-2.97
Pd7 0.8435 0.7128 0.1397 [1 per cell]  5 Pd 2.88-2.99, 2 Tm 2.90-2.93, 5 Hg 2.92-3.00
Pd8 0.9711 0.1561 0.4140 [1 per cell]  7 Pd 2.84-3.08, 3 Hg 2.84-2.96, 2 Tm 2.90-2.93



A plane-wave DFT calculation with PBE was carried out for crystalline Na2LaSb2 at its relaxed geometry.

Output
- Uncorrected formation energy: -2.59 eV/f.u.
- Energy above the most stable polymorph in this dataset: 0.0 meV/atom
- DOS(E_F): 3.9 states/eV/cell
- DFT total energy: -0.1352 Ha/atom

a = 8.9953 Å, b = 8.9953 Å, c = 3.3904 Å
α = 90.00°, β = 90.00°, γ = 90.00°
With the nearest neighbours (Å) after each atom.
Space group P4/mbm (No. 127)
Unique sites:
Na1 0.1099 0.3901 0.0000 [4 per cell]  1 Na 2.80, 2 Sb 3.08
La1 0.0000 0.0000 0.0000 [2 per cell]  2 La 3.39, 4 Na 3.65, 8 Sb 3.69
Sb1 0.1883 0.6883 0.5000 [4 per cell]  6 Na 3.08-3.25, 2 Sb 3.39



A plane-wave DFT calculation with PBE was carried out for crystalline Rb4TlSbCl12 at its relaxed geometry.

Output
- Uncorrected formation energy: -23.44 eV/f.u.
- DFT total energy: -0.1142 Ha/atom

a = 7.3828 Å, b = 7.3828 Å, c = 10.7380 Å
α = 90.00°, β = 90.00°, γ = 90.00°
With the nearest neighbours (Å) after each atom.
Space group P4/mmm (No. 123)
Unique sites:
Rb1 0.0000 0.5000 0.2117 [4 per cell]  8 Cl 3.46-3.75
Tl1 0.0000 0.0000 0.0000 [1 per cell]  6 Cl 2.62-2.64
Sb1 0.5000 0.5000 0.5000 [1 per cell]  6 Cl 2.41-2.42
Cl1 0.0000 0.0000 0.2436 [2 per cell]  1 Tl 2.62
Cl2 0.2524 0.2524 0.0000 [4 per cell]  1 Tl 2.64
Cl3 0.2692 0.2692 0.5000 [4 per cell]  1 Sb 2.41
Cl4 0.5000 0.5000 0.2743 [2 per cell]  1 Sb 2.42



A plane-wave DFT calculation with PBE was carried out for crystalline NaLiAg2 at its relaxed geometry.

Output
- DOS(E_F): 1.2 states/eV/cell
- DFT total energy: -0.0838 Ha/atom
- DFT formation energy: -0.05 eV per atom

a = 4.2871 Å, b = 4.2871 Å, c = 4.1725 Å
α = 90.00°, β = 90.00°, γ = 90.00°
With the nearest neighbours (Å) after each atom.
Space group P4/mmm (No. 123)
Unique sites:
Na1 0.0000 0.0000 0.0000 [1 per cell]  8 Ag 2.99, 4 Li 3.03
Li1 0.5000 0.5000 0.0000 [1 per cell]  8 Ag 2.99, 4 Na 3.03
Ag1 0.0000 0.5000 0.5000 [2 per cell]  4 Na 2.99, 4 Li 2.99, 4 Ag 3.03



Which of these has the lowest DFT total energy?
Th2OsPb